Crystalline BaTc2Au at its relaxed geometry. Source: Alexandria via LeMat-Bulk, functional PBE.

Computed properties:
* DFT formation energy: 0.9903 eV/atom
* energy above the lowest structure with this stoichiometry: 750 meV/atom

The structure in CIF format:
```
data_BaTc2Au
_chemical_formula_sum 'Ba4 Tc8 Au4'
_cell_length_a 6.912
_cell_length_b 6.912
_cell_length_c 6.912
_cell_angle_alpha 90.00
_cell_angle_beta 90.00
_cell_angle_gamma 90.00
_space_group_name_H-M_alt 'F -4 3 m'
_space_group_IT_number 216
_space_group_name_Hall 'F -4 2 3'
loop_
_atom_site_label
_atom_site_type_symbol
_atom_site_fract_x
_atom_site_fract_y
_atom_site_fract_z
_atom_site_occupancy
Ba1 Ba 0.000 0.000 0.000 1
Tc1 Tc 0.000 0.000 0.500 1
Tc2 Tc 0.250 0.250 0.750 1
Au1 Au 0.250 0.250 0.250 1
```